A plane-wave DFT calculation with PBE-GGA was carried out for RbTi3F after structural relaxation.

Geometry as POSCAR:
```
RbTi3F
1.0
-1.3079 4.2470 1.1398
-1.6956 0.6101 -4.2189
-4.0572 -1.6240 1.3958
F Rb Ti
1 1 3
direct
0.0000 0.0000 0.0000
0.5000 0.5000 0.5000
0.0000 0.5000 0.0000
0.0000 0.0000 0.5000
0.5000 0.0000 0.0000
```

Summary:
D(E_F), states/eV per atom: 0.9738
Relative energy among the computed polymorphs, meV per atom: 0
E_tot, eV/atom: -4.83
Energy relative to the elements, uncorrected, eV per atom: 0.4788
Space group: No. 221